Computed, not measured: a relaxed structure of ZnCoBr at the PBE level of DFT.

Computed properties:
calculated total energy	-2.86	eV/atom
formation energy from raw total energies	0.488	eV/atom
distance to the lowest polymorph of the same formula	0.274	eV/atom
space-group type	F-43m (216)
size of the total moment	0.9	μB/f.u.

a b c (Å): 4.2244 4.2244 4.2244
angles (deg): 60.00 60.00 60.00
Closest atoms and distances in Å follow each position.
Fractional coordinates of all 3 atoms:
Zn 0.0000 0.0000 0.0000  4 Co 2.59
Co 0.7500 0.7500 0.7500  4 Br 2.59, 4 Zn 2.59
Br 0.5000 0.5000 0.5000  4 Co 2.59